No. 1
First-principles (PBE) data for a geometry-optimized PmGaB structure, as listed in the Alexandria database.

POSCAR file:
```
PmGaB
1.0
-2.122 -2.432 0.337
2.478 0.474 3.399
-6.202 5.760 2.514
Pm Ga B
2 2 2
direct
0.022 0.044 0.699
0.978 0.956 0.301
0.651 0.301 0.057
0.349 0.699 0.943
0.276 0.552 0.504
0.724 0.448 0.496
```

Energy of formation from the pure elements = -1.13 eV/f.u.
VASP energy = -31.16 eV per cell
Relative energy among the computed polymorphs = 12 meV/atom

***

No. 2
First-principles (PBE) data for a geometry-optimized Er2SBr structure, as listed in the Alexandria database.

POSCAR file:
```
Er2SBr
1.0
-3.379 -0.867 -1.396
-0.455 -3.147 -2.001
-2.926 -5.136 5.217
S Br Er
1 1 2
direct
0.000 0.000 0.000
0.500 0.500 0.500
0.267 0.267 0.198
0.733 0.733 0.802
```

Uncorrected formation energy = -1.407 eV/atom
VASP energy = -20.55 eV per cell

***

No. 3
First-principles (PBE) data for a geometry-optimized Ag3AsBr6 structure, as listed in the Alexandria database.

POSCAR file:
```
Ag3AsBr6
1.0
-3.930 -1.205 5.916
5.800 -2.334 3.378
2.172 10.086 3.241
Ag As Br
6 2 12
direct
0.487 0.967 0.760
0.500 0.500 0.000
0.513 0.033 0.240
0.987 0.533 0.260
0.000 0.000 0.500
0.013 0.467 0.740
0.500 0.500 0.500
0.000 0.000 0.000
0.677 0.172 0.943
0.658 0.182 0.582
0.615 0.406 0.269
0.385 0.594 0.731
0.342 0.818 0.418
0.323 0.828 0.057
0.177 0.328 0.443
0.158 0.318 0.082
0.115 0.094 0.769
0.885 0.906 0.231
0.842 0.682 0.918
0.823 0.672 0.557
```

Uncorrected formation energy = -0.319 eV/atom
VASP energy = -52.87 eV per cell

***

No. 4
First-principles (PBE) data for a geometry-optimized Tb5SmDyTh2 structure, as listed in the Alexandria database.

POSCAR file:
```
Tb5SmDyTh2
1.0
8.748 0.000 0.000
0.000 8.748 0.000
-4.374 -4.374 7.806
Tb Sm Dy Th
10 2 2 4
direct
0.931 0.431 0.279
0.651 0.151 0.721
0.069 0.569 0.721
0.151 0.069 0.721
0.569 0.651 0.721
0.849 0.931 0.279
0.431 0.349 0.279
0.349 0.849 0.279
0.500 0.500 0.000
0.000 0.000 0.000
0.250 0.750 0.500
0.750 0.250 0.500
0.250 0.250 0.500
0.750 0.750 0.500
0.120 0.380 0.000
0.620 0.120 0.000
0.380 0.880 0.000
0.880 0.620 0.000
```

Energy of formation from the pure elements = 2.97 eV/f.u.
VASP energy = -88.68 eV per cell

***

No. 5
First-principles (PBE) data for a geometry-optimized Cr2TePt structure, as listed in the Alexandria database.

POSCAR file:
```
Cr2TePt
1.0
4.441 0.025 0.000
-0.933 4.342 0.000
0.000 0.000 3.455
Cr Pt Te
2 1 1
direct
0.000 0.000 0.000
0.500 0.500 0.000
0.500 0.000 0.500
0.000 0.500 0.500
```

Uncorrected formation energy = 0.219 eV/atom
VASP energy = -27.55 eV per cell

***

No. 6
First-principles (PBE) data for a geometry-optimized KTlCdBr2 structure, as listed in the Alexandria database.

POSCAR file:
```
KTlCdBr2
1.0
-5.293 -2.412 -1.503
1.382 -5.305 3.645
-2.546 2.615 4.772
Tl K Br Cd
1 1 2 1
direct
0.000 0.500 0.000
0.000 0.000 0.000
0.000 0.000 0.500
0.500 0.000 0.000
0.500 0.500 0.500
```

Uncorrected formation energy = -0.422 eV/atom
VASP energy = -9.84 eV per cell

***

No. 7
First-principles (PBE) data for a geometry-optimized LiTaPb2 structure, as listed in the Alexandria database.

POSCAR file:
```
LiTaPb2
1.0
3.988 0.000 0.000
0.000 3.212 0.019
0.000 3.196 6.859
Li Pb Ta
1 2 1
direct
0.500 0.750 0.750
0.000 0.001 0.000
0.000 0.499 0.500
0.500 0.250 0.250
```

Energy of formation from the pure elements = 1.09 eV/f.u.
VASP energy = -20.09 eV per cell

***

No. 8
First-principles (PBE) data for a geometry-optimized ZnSi2Cl structure, as listed in the Alexandria database.

POSCAR file:
```
ZnSi2Cl
1.0
-3.359 2.731 1.618
-0.245 4.411 -1.356
-3.412 1.371 -2.799
Zn Si Cl
1 2 1
direct
0.500 0.500 0.500
0.250 0.250 0.250
0.750 0.750 0.750
0.000 0.000 0.000
```

Uncorrected formation energy = 0.612 eV/atom
VASP energy = -11.52 eV per cell
Relative energy among the computed polymorphs = 617 meV/atom

***

No. 9
First-principles (PBE) data for a geometry-optimized Ac8PdRh3Se4 structure, as listed in the Alexandria database.

POSCAR file:
```
Ac8PdRh3Se4
1.0
8.661 0.000 0.000
0.000 9.195 0.365
-4.330 -4.321 6.130
Ac Pd Rh Se
8 1 3 4
direct
0.245 0.727 0.981
0.245 0.726 0.491
0.258 0.275 0.517
0.736 0.727 0.981
0.264 0.273 0.019
0.742 0.725 0.483
0.755 0.274 0.509
0.755 0.273 0.019
0.000 0.500 0.000
0.500 0.500 0.000
0.500 0.500 0.500
0.000 0.500 0.500
0.500 0.000 0.000
0.500 0.000 0.500
0.000 0.000 0.000
0.000 0.000 0.500
```

Uncorrected formation energy = -1.273 eV/atom
VASP energy = -94.41 eV per cell

***

No. 10
First-principles (PBE) data for a geometry-optimized Ni3BiPb structure, as listed in the Alexandria database.

POSCAR file:
```
Ni3BiPb
1.0
-4.054 -0.580 -2.546
1.218 -4.579 -0.896
-2.310 -1.396 3.996
Pb Ni Bi
1 3 1
direct
0.500 0.500 0.500
0.000 0.500 0.000
0.000 0.000 0.500
0.500 0.000 0.000
0.000 0.000 0.000
```

Energy of formation from the pure elements = 4.03 eV/f.u.
VASP energy = -20.90 eV per cell
Relative energy among the computed polymorphs = 0 meV/atom

***

No. 11
First-principles (PBE) data for a geometry-optimized HgSbIr2 structure, as listed in the Alexandria database.

POSCAR file:
```
HgSbIr2
1.0
2.894 0.000 0.000
0.000 3.804 0.000
0.000 0.000 7.401
Hg Ir Sb
1 2 1
direct
0.500 0.500 0.815
0.000 0.000 0.039
0.500 0.500 0.222
0.000 0.000 0.424
```

Uncorrected formation energy = 0.337 eV/atom
VASP energy = -20.80 eV per cell
Relative energy among the computed polymorphs = 13 meV/atom

***

- What is the formula in the first record?
  PmGaB

***

Repeat the second record exactly.
First-principles (PBE) data for a geometry-optimized Er2SBr structure, as listed in the Alexandria database.

POSCAR file:
```
Er2SBr
1.0
-3.379 -0.867 -1.396
-0.455 -3.147 -2.001
-2.926 -5.136 5.217
S Br Er
1 1 2
direct
0.000 0.000 0.000
0.500 0.500 0.500
0.267 0.267 0.198
0.733 0.733 0.802
```

Uncorrected formation energy = -1.407 eV/atom
VASP energy = -20.55 eV per cell

***

- Which of these has the lowest VASP energy?
  Ac8PdRh3Se4